VASP calculation (GGA-PBE) on an optimized crystal structure of TlGaPdPtSe.

Cell: 6.599 6.599 4.614 Å, 107.17 107.17 33.26°
Sites, in units of the cell vectors:
Tl 0.000 0.000 0.000
Ga 0.324 0.324 0.389
Pd 0.677 0.677 0.126
Pt 0.525 0.525 0.506
Se 0.747 0.747 0.689

The calculation puts the density of states at the Fermi level at 0.81 states/eV per cell. The value obtained for the uncorrected formation energy is -0.26 eV per atom. As for the space group: Cm.